Record 1
Compound: NaErAg2Br6
Source: the Alexandria database
Functional: PBE
Structure: relaxed

The structure in POSCAR format:
```
NaErAg2Br6
1.0
-4.9613 2.2991 -4.7474
-4.8341 -4.6514 -2.7258
-7.4054 0.5926 2.5022
Na Er Ag Br
1 1 2 6
direct
0.8200 0.8201 0.5400
0.3263 0.3263 0.0210
0.5166 0.5165 0.4503
0.0098 0.0101 0.9703
0.5817 0.2354 0.2498
0.2356 0.9329 0.2498
0.9331 0.5815 0.2500
0.4046 0.7216 0.7614
0.7216 0.1124 0.7612
0.1123 0.4048 0.7614
```

Results
Space group ... R3 (146)
M_tot ... 0.00 μB per cell
Raw total energy ... -3.3357 eV per atom
E_form (uncorrected) ... -1174 meV/atom


Record 2
Compound: CaAgP2O8
Source: the Alexandria database
Functional: PBE
Structure: relaxed

The structure in POSCAR format:
```
CaAgP2O8
1.0
5.9279 -0.0242 0.0000
-2.6508 5.3022 0.0000
-1.6385 -2.6390 5.0489
Ca Ag P O
1 1 2 8
direct
0.0000 0.0000 0.0000
0.2500 0.7500 0.5000
0.7500 0.2500 0.5000
0.5000 0.5000 0.0000
0.4253 0.0959 0.3294
0.3420 0.5100 0.1680
0.3420 0.1741 0.8320
0.7665 0.0959 0.6706
0.8259 0.6580 0.1680
0.9041 0.2335 0.3294
0.9041 0.5747 0.6706
0.4900 0.6580 0.8320
```

Results
Space group ... I-4m2 (119)
M_tot ... 3.03 μB per cell
Raw total energy ... -6.3238 eV per atom
E_form (uncorrected) ... -1712 meV/atom


Record 3
Compound: YSbW2
Source: the Alexandria database
Functional: PBE
Structure: relaxed

The structure in POSCAR format:
```
YSbW2
1.0
-0.0078 -1.5471 2.6173
-1.1536 -1.7703 -2.1861
8.4513 -3.2013 -1.8673
Sb W Y
1 2 1
direct
0.5000 0.5000 0.7500
0.0000 0.0000 0.9822
0.0000 0.0000 0.5178
0.5000 0.5000 0.2500
```

Results
Space group ... Cmmm (65)
M_tot ... 0.00 μB per cell
Raw total energy ... -8.3840 eV per atom
E_form (uncorrected) ... 739 meV/atom


Record 4
Compound: Si2AgW
Source: the Alexandria database
Functional: PBE
Structure: relaxed

The structure in POSCAR format:
```
Si2AgW
1.0
-0.3579 4.7060 -0.7978
-4.5715 1.0081 -0.9982
2.3265 -2.1262 3.6024
Ag Si W
1 2 1
direct
0.2500 0.7500 0.5000
0.0001 0.0001 0.0000
0.4999 0.4999 0.0000
0.7500 0.2500 0.5000
```

Results
Space group ... Immm (71)
M_tot ... 0.00 μB per cell
Raw total energy ... -6.2741 eV per atom
Offset from the most stable computed form ... 16.96 kJ per mole of atoms
E_form (uncorrected) ... 389 meV/atom